# 1
This record from the Alexandria database describes a geometry-optimized TbAl3Ni2 structure. The functional is PBE.

Cell lengths 9.0409, 9.0409, 4.0746 Å; angles 90.00, 90.00, 120.00 degrees
Closest atoms and distances in Å follow each position.
Space group P6/mmm (No. 191)
Unique sites:
1 Tb 0.0000 0.0000 0.0000 (multiplicity 1)  6 Ni 2.85
2 Tb 0.3333 0.6667 0.5000 (multiplicity 2)  6 Ni 3.13, 12 Al 3.19-3.31
3 Al 0.0000 0.2967 0.5000 (multiplicity 6)  4 Ni 2.50, 4 Al 2.68-2.74
4 Al 0.0000 0.5000 0.0000 (multiplicity 3)  4 Ni 2.50, 4 Al 2.74
5 Ni 0.1820 0.3639 0.0000 (multiplicity 6)  6 Al 2.50

crystal system	hexagonal
D(E_F)	2.49	states/eV/f.u.
calculated formation energy	-3.93	eV per formula unit
electronic total energy	-5.22	eV/atom

---

# 2
This record from the Alexandria database describes a geometry-optimized Tb3Al4Ni2 structure. The functional is PBE.

Cell lengths 10.8351, 4.2061, 8.3049 Å; angles 90.00, 106.77, 90.00 degrees
Closest atoms and distances in Å follow each position.
Space group C2/m (No. 12)
Unique sites:
1 Tb 0.0000 0.0000 0.0000 (multiplicity 2)  8 Al 3.04-3.33, 2 Ni 3.32
2 Tb 0.1217 0.5000 0.3769 (multiplicity 4)  6 Al 3.00-3.20, 4 Ni 3.08-3.32
3 Al 0.0924 0.0000 0.6531 (multiplicity 4)  2 Ni 2.43, 1 Al 2.66
4 Al 0.2113 0.5000 0.0668 (multiplicity 4)  3 Ni 2.47-2.57, 3 Al 2.63-2.66
5 Ni 0.1955 0.5000 0.7640 (multiplicity 4)  5 Al 2.43-2.57

crystal system	monoclinic
D(E_F)	5.70	states/eV/f.u.
calculated formation energy	-4.30	eV per formula unit
electronic total energy	-4.97	eV/atom

---

# 3
This record from the Alexandria database describes a geometry-optimized TbAlNi structure. The functional is PBE.

Cell lengths 6.9842, 6.9842, 3.9117 Å; angles 90.00, 90.00, 120.00 degrees
Closest atoms and distances in Å follow each position.
Space group P-62m (No. 189)
Unique sites:
1 Tb 0.0000 0.4174 0.0000 (multiplicity 3)  5 Ni 2.87-2.92, 6 Al 3.12-3.20
2 Al 0.0000 0.7658 0.5000 (multiplicity 3)  4 Ni 2.55-2.74, 2 Al 2.83
3 Ni 0.0000 0.0000 0.0000 (multiplicity 1)  6 Al 2.55
4 Ni 0.3333 0.6667 0.5000 (multiplicity 2)  3 Al 2.74, 6 Tb 2.87

crystal system	hexagonal
D(E_F)	2.73	states/eV/f.u.
calculated formation energy	-1.78	eV per formula unit
electronic total energy	-5.31	eV/atom

---

# 4
This record from the Alexandria database describes a geometry-optimized TbAlNi4 structure. The functional is PBE.

Cell lengths 5.0300, 8.4316, 4.0244 Å; angles 90.00, 90.00, 90.00 degrees
Closest atoms and distances in Å follow each position.
Space group Cmmm (No. 65)
Unique sites:
1 Tb 0.0000 0.0000 0.0000 (multiplicity 2)  6 Ni 2.81-2.88
2 Al 0.0000 0.5000 0.5000 (multiplicity 2)  8 Ni 2.45-2.46
3 Ni 0.0000 0.3328 0.0000 (multiplicity 4)  2 Al 2.46, 4 Ni 2.47
4 Ni 0.2500 0.2500 0.5000 (multiplicity 4)  2 Al 2.45, 6 Ni 2.47-2.51

crystal system	orthorhombic
D(E_F)	3.57	states/eV/f.u.
calculated formation energy	-3.12	eV per formula unit
electronic total energy	-5.77	eV/atom